Record 1
# PBE-GGA Cr2FeAgGe, relaxed
# Size of the total moment in μB/atom: 0.877
# ΔE_f in eV per atom: 1.02
# E in eV per atom: -6.0184
data_Cr2FeAgGe
_chemical_formula_sum 'Cr2 Fe1 Ag1 Ge1'
_cell_length_a 4.2960
_cell_length_b 4.2960
_cell_length_c 4.8642
_cell_angle_alpha 90.00
_cell_angle_beta 90.00
_cell_angle_gamma 90.00
_symmetry_space_group_name_H-M 'P 4/m m m'
_symmetry_Int_Tables_number 123
_symmetry_space_group_name_Hall '-P 4 2'
loop_
_atom_site_label
_atom_site_type_symbol
_atom_site_fract_x
_atom_site_fract_y
_atom_site_fract_z
Cr1 Cr 0.0000 0.5000 0.0000
Fe1 Fe 0.0000 0.0000 0.0000
Ag1 Ag 0.0000 0.0000 0.5000
Ge1 Ge 0.5000 0.5000 0.5000

Record 2
# PBE-GGA Pr4GaAu3, relaxed
# Size of the total moment in μB/atom: 0.000
# ΔE_f in eV per atom: -0.71
# E in eV per atom: -4.7048
data_Pr4GaAu3
_chemical_formula_sum 'Pr4 Ga1 Au3'
_cell_length_a 3.9797
_cell_length_b 4.7531
_cell_length_c 11.4490
_cell_angle_alpha 90.00
_cell_angle_beta 90.00
_cell_angle_gamma 90.00
_symmetry_space_group_name_H-M 'P m m 2'
_symmetry_Int_Tables_number 25
_symmetry_space_group_name_Hall 'P 2 -2'
loop_
_atom_site_label
_atom_site_type_symbol
_atom_site_fract_x
_atom_site_fract_y
_atom_site_fract_z
Pr1 Pr 0.0000 0.0000 0.0000
Pr2 Pr 0.0000 0.5000 0.2780
Pr3 Pr 0.5000 0.0000 0.5019
Pr4 Pr 0.5000 0.5000 0.7816
Ga1 Ga 0.0000 0.0000 0.7226
Au1 Au 0.0000 0.5000 0.5590
Au2 Au 0.5000 0.0000 0.2254
Au3 Au 0.5000 0.5000 0.0583

Record 3
# PBE-GGA Tm7Pt2Pb2, relaxed
# Size of the total moment in μB/atom: 0.000
# E above lowest polymorph in meV per atom: 0.0
# ΔE_f in eV per atom: -0.71
# E in eV per atom: -5.3324
data_Tm7Pt2Pb2
_chemical_formula_sum 'Tm14 Pt4 Pb4'
_cell_length_a 3.6512
_cell_length_b 16.2125
_cell_length_c 10.0544
_cell_angle_alpha 90.00
_cell_angle_beta 90.00
_cell_angle_gamma 90.00
_symmetry_space_group_name_H-M 'I m m 2'
_symmetry_Int_Tables_number 44
_symmetry_space_group_name_Hall 'I 2 -2'
loop_
_atom_site_label
_atom_site_type_symbol
_atom_site_fract_x
_atom_site_fract_y
_atom_site_fract_z
Tm1 Tm 0.0000 0.0000 0.0000
Tm2 Tm 0.0000 0.1262 0.4472
Tm3 Tm 0.0000 0.3169 0.6424
Tm4 Tm 0.0000 0.3481 0.2923
Pt1 Pt 0.0000 0.2414 0.9497
Pb1 Pb 0.0000 0.0000 0.6854
Pb2 Pb 0.0000 0.5000 0.7667

Record 4
# PBE-GGA Rb2CaFeCl, relaxed
# Size of the total moment in μB/atom: 0.462
# Formation energy without anion corrections in meV/atom: 262.6
# E in eV per atom: -2.5866
data_Rb2CaFeCl
_chemical_formula_sum 'Rb2 Ca1 Fe1 Cl1'
_cell_length_a 7.5194
_cell_length_b 7.5194
_cell_length_c 4.3182
_cell_angle_alpha 90.00
_cell_angle_beta 90.00
_cell_angle_gamma 90.00
_symmetry_space_group_name_H-M 'P 4/m m m'
_symmetry_Int_Tables_number 123
_symmetry_space_group_name_Hall '-P 4 2'
loop_
_atom_site_label
_atom_site_type_symbol
_atom_site_fract_x
_atom_site_fract_y
_atom_site_fract_z
Rb1 Rb 0.0000 0.5000 0.0000
Ca1 Ca 0.0000 0.0000 0.5000
Fe1 Fe 0.5000 0.5000 0.0000
Cl1 Cl 0.5000 0.5000 0.5000

| no. | N(E_F) (states/eV/cell) |
| --- | --- |
| 1 | 4.85 |
| 2 | 7.72 |
| 3 | 14.65 |
| 4 | 6.05 |